(1)
TbSnHgBr6, optimized geometry, DFT GGA-PBE; raw formation energy = -943 kJ/mol of formula units; total DFT energy (no corrections) = -3.194 eV per atom; DOS at the Fermi energy = 6.04 states/eV/f.u.; magnetization = 0.00 μB per cell
1.0
7.260 0.000 0.000
-3.630 6.287 0.000
0.000 0.000 8.617
Tb Sn Hg Br
1 1 1 6
Direct
0.000 0.000 0.000
0.333 0.667 0.000
0.667 0.333 0.500
0.029 0.333 0.810
0.029 0.696 0.190
0.304 0.333 0.190
0.304 0.971 0.810
0.667 0.696 0.810
0.667 0.971 0.190

---

(2)
Tl2Sn3HgBr8, optimized geometry, DFT GGA-PBE; raw formation energy = -953 kJ/mol of formula units; total DFT energy (no corrections) = -2.879 eV per atom; DOS at the Fermi energy = 0.00 states/eV/f.u.; magnetization = 0.00 μB per cell
1.0
4.413 2.548 8.854
-4.413 2.548 8.854
0.000 -5.096 8.854
Tl Sn Hg Br
2 3 1 8
Direct
0.000 0.000 0.000
0.353 0.353 0.353
0.496 0.985 0.985
0.985 0.496 0.985
0.985 0.985 0.496
0.630 0.630 0.630
0.188 0.728 0.728
0.220 0.220 0.220
0.239 0.239 0.766
0.239 0.766 0.239
0.728 0.188 0.728
0.728 0.728 0.188
0.759 0.759 0.759
0.766 0.239 0.239